LiCeLuGa: optimized geometry, PBE.

Output
Spin magnetization   0.73 μB/f.u.
Space-group type   F-43m, No. 216
ΔH_f (0 K)   -0.217 eV per atom

Cell lengths 5.0763, 5.0763, 5.0763 Å; angles 60.00, 60.00, 60.00 degrees
With the nearest neighbours (Å) after each atom.
Fractional positions:
Ga 0.7500 0.7500 0.7500  4 Ce 3.11, 4 Lu 3.11
Ce 0.5000 0.5000 0.5000  4 Li 3.11, 4 Ga 3.11
Li 0.2500 0.2500 0.2500  4 Ce 3.11, 4 Lu 3.11
Lu 0.0000 0.0000 0.0000  4 Ga 3.11, 4 Li 3.11

TaNb2AlN: optimized geometry, PBE.

Output
Raw formation energy   -0.483 eV/atom
Spin magnetization   0.00 μB/f.u.
Space-group type   P4/mmm, No. 123

Cell lengths 4.3672, 4.3672, 4.0789 Å; angles 90.00, 90.00, 90.00 degrees
With the nearest neighbours (Å) after each atom.
Fractional positions:
Ta 0.0000 0.0000 0.5000  2 N 2.04
Nb 0.5000 0.0000 0.0000  2 N 2.18
Nb 0.0000 0.5000 0.0000  2 N 2.18
N 0.0000 0.0000 0.0000  2 Ta 2.04, 4 Nb 2.18
Al 0.5000 0.5000 0.5000  8 Nb 2.99, 4 Ta 3.09